Record 1
Entry from Alexandria via LeMat-Bulk: a geometry-optimized Cu2AgAsO6 structure (GGA-PBE).

Cell lengths 6.433, 6.951, 6.951 Å; angles 101.88, 75.79, 75.79 degrees
Sites, in units of the cell vectors:
Cu1 0.338 0.695 0.562
Cu2 0.162 0.438 0.305
Cu3 0.662 0.305 0.438
Cu4 0.838 0.562 0.695
Ag1 0.250 0.871 0.129
Ag2 0.750 0.129 0.871
As1 0.250 0.169 0.831
As2 0.750 0.831 0.169
O1 0.212 0.922 0.800
O2 0.288 0.200 0.078
O3 0.788 0.078 0.200
O4 0.712 0.800 0.922
O5 0.498 0.833 0.327
O6 0.002 0.673 0.167
O7 0.502 0.167 0.673
O8 0.998 0.327 0.833
O9 0.062 0.661 0.546
O10 0.438 0.454 0.339
O11 0.938 0.339 0.454
O12 0.562 0.546 0.661

Computed properties:
DOS at the Fermi energy in states/eV per atom: 0.43
Density in Mg/m³: 4.8
Total magnetization in μB per formula unit: 0.0
E_form (uncorrected) in eV per atom: -0.559

---

Record 2
Entry from Alexandria via LeMat-Bulk: a geometry-optimized ScNbOs2 structure (GGA-PBE).

Cell lengths 4.519, 4.519, 4.519 Å; angles 60.00, 60.00, 60.00 degrees
Sites, in units of the cell vectors:
Sc1 0.000 0.000 0.000
Nb1 0.500 0.500 0.500
Os1 0.250 0.250 0.250
Os2 0.750 0.750 0.750

Computed properties:
Raw total energy in eV per atom: -10.153
DOS at the Fermi energy in states/eV per atom: 0.13
Density in Mg/m³: 13.2
Total magnetization in μB per formula unit: 0.0

---

Record 3
Entry from Alexandria via LeMat-Bulk: a geometry-optimized ZrNbCr2I structure (GGA-PBE).

Cell lengths 4.706, 5.305, 4.706 Å; angles 90.00, 90.00, 90.00 degrees
Each line ends with the local moment (μB).
Sites, in units of the cell vectors:
I1 0.000 0.500 0.000  0.05
Cr1 0.000 0.000 0.500  2.47
Cr2 0.500 0.000 0.000  3.15
Nb1 0.000 0.000 0.000  -0.69
Zr1 0.500 0.500 0.500  -0.64

Computed properties:
DOS at the Fermi energy in states/eV per atom: 1.32
Density in Mg/m³: 5.9
Total magnetization in μB per formula unit: 4.5
E_form (uncorrected) in eV per atom: 1.352

---

Record 4
Entry from Alexandria via LeMat-Bulk: a geometry-optimized DySn2P2Pt7 structure (GGA-PBE).

Cell lengths 3.942, 3.942, 15.318 Å; angles 82.57, 82.57, 89.98 degrees
Sites, in units of the cell vectors:
Dy1 0.000 0.000 0.000
Sn1 0.787 0.787 0.425
Sn2 0.213 0.213 0.575
P1 0.618 0.618 0.764
P2 0.382 0.382 0.236
Pt1 0.500 0.500 0.000
Pt2 0.306 0.306 0.389
Pt3 0.694 0.694 0.611
Pt4 0.926 0.426 0.148
Pt5 0.426 0.926 0.148
Pt6 0.574 0.074 0.852
Pt7 0.074 0.574 0.852

Computed properties:
Raw total energy in eV per atom: -6.178
DOS at the Fermi energy in states/eV per atom: 0.28
Density in Mg/m³: 13.0
Total magnetization in μB per formula unit: 0.0